A plane-wave DFT calculation with PBE+U was carried out for crystalline Li4VF6 at its relaxed geometry.

abc: 8.253 9.716 3.049
angles: 90.00 90.00 90.00
Atoms (fractional coordinates):
Li 0.140 0.074 0.000
Li 0.191 0.811 0.500
Li 0.309 0.311 0.500
Li 0.360 0.574 0.000
Li 0.640 0.426 0.000
Li 0.691 0.689 0.500
Li 0.809 0.189 0.500
Li 0.860 0.926 0.000
V 0.000 0.500 0.500
V 0.500 0.000 0.500
F 0.081 0.881 0.000
F 0.101 0.377 0.000
F 0.226 0.615 0.500
F 0.274 0.115 0.500
F 0.399 0.877 0.000
F 0.419 0.381 0.000
F 0.581 0.619 0.000
F 0.601 0.123 0.000
F 0.726 0.885 0.500
F 0.774 0.385 0.500
F 0.899 0.623 0.000
F 0.919 0.119 0.000

## Properties
The value obtained for the raw total energy is -0.191 hartree per atom. The calculation puts the energy above the most stable polymorph in this dataset at 10 meV per atom. The calculation puts the magnetization at 6.0 μB/cell.